Material: BeNbAu3
Method: DFT, PBE
State: optimized geometry

Cell: 4.4185 4.4185 4.4185 Å, 90.00 90.00 90.00°
Last column: nearest neighbours and their distance in Å.
Positions (direct):
Be: 0.0000 0.0000 0.0000  6 Au 2.21
Nb: 0.5000 0.5000 0.5000  12 Au 3.12
Au: 0.0000 0.0000 0.5000  2 Be 2.21
Au: 0.0000 0.5000 0.0000  2 Be 2.21
Au: 0.5000 0.0000 0.0000  2 Be 2.21

## Properties
Electronic total energy (eV per atom): -4.432
Density of states at the Fermi level (states/eV/f.u.): 3.0
Formation enthalpy at 0 K (eV/atom): 0.2937
Mass density (Mg/m³): 13.336
Space-group type: Pm-3m (221)

Material: BeNbAu3
Method: DFT, PBE
State: optimized geometry

Cell: 5.1489 5.1489 5.1489 Å, 90.00 90.00 90.00°
Last column: nearest neighbours and their distance in Å.
Positions (direct):
Be: 0.0000 0.0000 0.0000  12 Au 3.64
Nb: 0.5000 0.5000 0.5000  6 Au 2.57
Au: 0.0000 0.5000 0.5000  2 Nb 2.57
Au: 0.5000 0.0000 0.5000  2 Nb 2.57
Au: 0.5000 0.5000 0.0000  2 Nb 2.57

## Properties
Electronic total energy (eV per atom): -3.326
Density of states at the Fermi level (states/eV/f.u.): 4.4
Formation enthalpy at 0 K (eV/atom): 1.3992
Mass density (Mg/m³): 8.428
Space-group type: Pm-3m (221)

Material: BeNbAu
Method: DFT, PBE
State: optimized geometry

Cell: 2.7850 4.5047 7.3662 Å, 98.25 100.71 90.10°
Last column: nearest neighbours and their distance in Å.
Positions (direct):
Be: 0.0000 0.0000 0.0000  2 Be 2.21-2.23, 1 Au 2.38
Be: 0.4079 0.6965 0.8239  2 Be 2.21-2.23, 2 Au 2.33-2.35, 1 Nb 2.44
Nb: 0.5680 0.5345 0.1314  1 Be 2.44
Nb: 0.7600 0.6246 0.5186  2 Be 2.59-2.60, 3 Nb 2.77-2.79
Au: 0.1672 0.0799 0.3322  1 Be 2.38
Au: 0.3671 0.1772 0.7335  4 Be 2.33-2.60

## Properties
Electronic total energy (eV per atom): -5.681
Density of states at the Fermi level (states/eV/f.u.): 2.4
Formation enthalpy at 0 K (eV/atom): 0.0104
Mass density (Mg/m³): 11.050
Space-group type: P1 (1)

Material: BeNbRe2Au
Method: DFT, PBE
State: optimized geometry

Cell: 4.2665 4.2665 4.1408 Å, 90.00 90.00 90.00°
Last column: nearest neighbours and their distance in Å.
Positions (direct):
Be: 0.0000 0.0000 0.0000  2 Au 2.07, 4 Re 2.13
Nb: 0.5000 0.5000 0.5000  8 Re 2.97, 4 Au 3.02
Re: 0.0000 0.5000 0.0000  2 Be 2.13
Re: 0.5000 0.0000 0.0000  2 Be 2.13
Au: 0.0000 0.0000 0.5000  2 Be 2.07

## Properties
Electronic total energy (eV per atom): -7.929
Density of states at the Fermi level (states/eV/f.u.): 2.1
Formation enthalpy at 0 K (eV/atom): 0.4654
Mass density (Mg/m³): 14.789
Space-group type: P4/mmm (123)

The lowest density of states at the Fermi level belongs to which entry? BeNbRe2Au